Entry 1:
# PBE TbPu2Pt, relaxed
data_TbPu2Pt
_chemical_formula_sum 'Tb3 Pu6 Pt3'
_space_group_name_H-M_alt 'R -3 m'
_space_group_IT_number 166
_space_group_name_Hall '-R 3 2"'
_cell_length_a 3.7047
_cell_length_b 3.7047
_cell_length_c 28.4868
_cell_angle_alpha 90.00
_cell_angle_beta 90.00
_cell_angle_gamma 120.00
loop_
_atom_site_label
_atom_site_type_symbol
_atom_site_fract_x
_atom_site_fract_y
_atom_site_fract_z
Tb1 Tb 0.0000 0.0000 0.0000
Pu1 Pu 0.0000 0.0000 0.2328
Pt1 Pt 0.0000 0.0000 0.5000
# * electronic total energy: -0.367 hartree per atom

=====

Entry 2:
# PBE TbPu3Pt4, relaxed
data_TbPu3Pt4
_chemical_formula_sum 'Tb1 Pu3 Pt4'
_space_group_name_H-M_alt 'P 4/m m m'
_space_group_IT_number 123
_space_group_name_Hall '-P 4 2'
_cell_length_a 3.4676
_cell_length_b 3.4676
_cell_length_c 14.4116
_cell_angle_alpha 90.00
_cell_angle_beta 90.00
_cell_angle_gamma 90.00
loop_
_atom_site_label
_atom_site_type_symbol
_atom_site_fract_x
_atom_site_fract_y
_atom_site_fract_z
Tb1 Tb 0.0000 0.0000 0.0000
Pu1 Pu 0.0000 0.0000 0.2496
Pu2 Pu 0.0000 0.0000 0.5000
Pt1 Pt 0.5000 0.5000 0.1194
Pt2 Pt 0.5000 0.5000 0.3740
# * electronic total energy: -0.360 hartree per atom

=====

Entry 3:
# PBE TbPuPt4, relaxed
data_TbPuPt4
_chemical_formula_sum 'Tb4 Pu4 Pt16'
_space_group_name_H-M_alt 'F -4 3 m'
_space_group_IT_number 216
_space_group_name_Hall 'F -4 2 3'
_cell_length_a 7.7126
_cell_length_b 7.7126
_cell_length_c 7.7126
_cell_angle_alpha 90.00
_cell_angle_beta 90.00
_cell_angle_gamma 90.00
loop_
_atom_site_label
_atom_site_type_symbol
_atom_site_fract_x
_atom_site_fract_y
_atom_site_fract_z
Tb1 Tb 0.0000 0.0000 0.0000
Pu1 Pu 0.2500 0.2500 0.7500
Pt1 Pt 0.1249 0.1249 0.3751
# * electronic total energy: -0.300 hartree per atom

=====

Entry 4:
# PBE TbPuTcPt, relaxed
data_TbPuTcPt
_chemical_formula_sum 'Tb4 Pu4 Tc4 Pt4'
_space_group_name_H-M_alt 'F -4 3 m'
_space_group_IT_number 216
_space_group_name_Hall 'F -4 2 3'
_cell_length_a 6.8907
_cell_length_b 6.8907
_cell_length_c 6.8907
_cell_angle_alpha 90.00
_cell_angle_beta 90.00
_cell_angle_gamma 90.00
loop_
_atom_site_label
_atom_site_type_symbol
_atom_site_fract_x
_atom_site_fract_y
_atom_site_fract_z
Tb1 Tb 0.0000 0.0000 0.0000
Pu1 Pu 0.0000 0.0000 0.5000
Tc1 Tc 0.2500 0.2500 0.2500
Pt1 Pt 0.2500 0.2500 0.7500
# * electronic total energy: -0.339 hartree per atom

=====

no.,DOS(E_F) (states/eV/f.u.),formation energy (eV per atom),volume (A^3/atom)
1,19.48,-0.159,28.2
2,34.91,-0.821,21.7
3,14.77,-0.967,19.1
4,6.67,-0.379,20.4